No. 1
First-principles (SCAN) data for NaCoAu3 at its PBEsol-relaxed geometry, as listed in Alexandria.

POSCAR file:
```
NaCoAu3
1.0
4.7602 0.0000 0.0000
0.0000 4.7602 0.0000
0.0000 0.0000 4.7602
Na Co Au
1 1 3
direct
0.0000 0.0000 0.0000
0.5000 0.5000 0.5000
0.0000 0.5000 0.5000
0.5000 0.0000 0.5000
0.5000 0.5000 0.0000
```

Computed properties:
As for the calculated volume: 21.573 Å³/atom. The calculation puts the formation energy at 0.26 eV/atom. As for the mass density: 10.36 Mg/m³.

***

No. 2
First-principles (SCAN) data for Sr2LaCu at its PBEsol-relaxed geometry, as listed in Alexandria.

POSCAR file:
```
Sr2LaCu
1.0
4.3917 0.0000 0.0000
0.0000 5.2971 0.0000
0.0000 0.0000 5.5721
Sr La Cu
2 1 1
direct
0.0000 0.0000 0.0000
0.5000 0.5000 0.0000
0.0000 0.5000 0.5000
0.5000 0.0000 0.5000
```

Computed properties:
As for the calculated volume: 32.406 Å³/atom. The calculation puts the formation energy at 0.36 eV/atom. As for the mass density: 4.84 Mg/m³.

***

No. 3
First-principles (SCAN) data for YCrF2 at its PBEsol-relaxed geometry, as listed in Alexandria.

POSCAR file:
```
YCrF2
1.0
0.0000 3.0815 3.0815
3.0815 0.0000 3.0815
3.0815 3.0815 0.0000
Y Cr F
1 1 2
direct
0.0000 0.0000 0.0000
0.5000 0.5000 0.5000
0.2500 0.2500 0.2500
0.7500 0.7500 0.7500
```

Computed properties:
As for the calculated volume: 14.631 Å³/atom. The raw formation energy is -1.588 eV/atom. As for the mass density: 5.08 Mg/m³.